Compound: CrTeAuF2
Source: Alexandria
Functional: PBE with a Hubbard U
Structure: optimized geometry

Cell and atoms, written as CIF:
```
data_CrTeAuF2
_chemical_formula_sum 'Cr1 Te1 Au1 F2'
_cell_length_a 3.9533
_cell_length_b 3.9533
_cell_length_c 6.5808
_cell_angle_alpha 90.00
_cell_angle_beta 90.00
_cell_angle_gamma 90.00
_symmetry_space_group_name_H-M 'P 4/m m m'
_symmetry_Int_Tables_number 123
_symmetry_space_group_name_Hall '-P 4 2'
loop_
_atom_site_label
_atom_site_fract_x
_atom_site_fract_y
_atom_site_fract_z
Cr1 0.0000 0.0000 0.0000
Te1 0.5000 0.5000 0.5000
Au1 0.0000 0.0000 0.5000
F1 0.0000 0.5000 0.0000
```

The value obtained for the energy is -24.6 eV for the cell shown. The theoretical density is 6.69 Mg/m³. The total magnetization is 0.88 μB per atom. The value obtained for the distance to the lowest polymorph of the same formula is 0.081 eV/atom.